[1]
Below is a geometry-optimized AcLa2Sm6 structure, with properties calculated at the PBE level.

Unit cell a=17.297 b=3.592 c=10.524 alpha=90.00 beta=100.33 gamma=90.00
Space group C2/m (No. 12)
Symmetry-distinct sites (fractional):
Ac (0.000, 0.000, 0.000) [2 per cell]
La (0.167, 0.000, 0.535) [4 per cell]
Sm (0.008, 0.000, 0.673) [4 per cell]
Sm (0.158, 0.500, 0.224) [4 per cell]
Sm (0.172, 0.500, 0.877) [4 per cell]

Computed properties:
**E**: -4.601 eV/atom
**Crystal system**: monoclinic
**Energy of formation**: 0.096 eV/atom

[2]
Below is a geometry-optimized Ac2La5Sm2 structure, with properties calculated at the PBE level.

Unit cell a=18.585 b=3.713 c=10.309 alpha=90.00 beta=103.76 gamma=90.00
Space group C2/m (No. 12)
Symmetry-distinct sites (fractional):
Ac (0.015, 0.000, 0.184) [4 per cell]
La (0.000, 0.500, 0.500) [2 per cell]
La (0.162, 0.000, 0.706) [4 per cell]
La (0.162, 0.500, 0.027) [4 per cell]
Sm (0.172, 0.500, 0.406) [4 per cell]

Computed properties:
**E**: -4.615 eV/atom
**Crystal system**: monoclinic
**Energy of formation**: 0.084 eV/atom

[3]
Below is a geometry-optimized AcLa2Sm4 structure, with properties calculated at the PBE level.

Unit cell a=9.470 b=9.470 c=5.911 alpha=90.00 beta=90.00 gamma=90.00
Space group P4_2/mnm (No. 136)
Symmetry-distinct sites (fractional):
Ac (0.000, 0.000, 0.000) [2 per cell]
La (0.198, 0.198, 0.500) [4 per cell]
Sm (0.118, 0.379, 0.000) [8 per cell]

Computed properties:
**E**: -4.501 eV/atom
**Crystal system**: tetragonal
**Energy of formation**: 0.191 eV/atom

[4]
Below is a geometry-optimized Ac3La7Sm2 structure, with properties calculated at the PBE level.

Unit cell a=7.2157 b=7.2157 c=30.9334 alpha=90.00 beta=90.00 gamma=120.00
Space group R-3m (No. 166, hexagonal axes)
Symmetry-distinct sites (fractional):
Ac (0.0000, 0.0000, 0.0000) [3 per cell]
Ac (0.0000, 0.0000, 0.1324) [6 per cell]
La (0.0000, 0.0000, 0.5000) [3 per cell]
La (0.0373, 0.5186, 0.9099) [18 per cell]
Sm (0.0000, 0.0000, 0.3418) [6 per cell]

Computed properties:
**E**: -4.516 eV/atom
**Crystal system**: trigonal
**Energy of formation**: 0.172 eV/atom

[5]
Below is a geometry-optimized AcLa8Sm5 structure, with properties calculated at the PBE level.

Unit cell a=9.877 b=9.877 c=10.728 alpha=90.00 beta=90.00 gamma=90.00
Space group I-4 (No. 82)
Symmetry-distinct sites (fractional):
Ac (0.000, 0.000, 0.000) [2 per cell]
La (0.080, 0.819, 0.641) [8 per cell]
La (0.092, 0.671, 0.000) [8 per cell]
Sm (0.000, 0.500, 0.750) [2 per cell]
Sm (0.115, 0.704, 0.320) [8 per cell]

Computed properties:
**E**: -4.575 eV/atom
**Crystal system**: tetragonal
**Energy of formation**: 0.219 eV/atom

[6]
Below is a geometry-optimized AcLa3Sm8 structure, with properties calculated at the PBE level.

Unit cell a=6.525 b=11.718 c=11.998 alpha=90.00 beta=90.00 gamma=90.00
Space group Immm (No. 71)
Symmetry-distinct sites (fractional):
Ac (0.000, 0.000, 0.000) [2 per cell]
La (0.000, 0.244, 0.500) [4 per cell]
La (0.000, 0.500, 0.000) [2 per cell]
Sm (0.000, 0.251, 0.178) [8 per cell]
Sm (0.246, 0.000, 0.258) [8 per cell]

Computed properties:
**E**: -4.451 eV/atom
**Crystal system**: orthorhombic
**Energy of formation**: 0.269 eV/atom

[7]
Below is a geometry-optimized Ac7La12Sm structure, with properties calculated at the PBE level.

Unit cell a=20.4100 b=20.4100 c=6.7072 alpha=90.00 beta=90.00 gamma=120.00
Space group R-3 (No. 148, hexagonal axes)
Symmetry-distinct sites (fractional):
Ac (0.0000, 0.0000, 0.0000) [3 per cell]
Ac (0.0859, 0.1719, 0.2935) [18 per cell]
La (0.9999, 0.4045, 0.9989) [18 per cell]
La (0.0914, 0.5455, 0.4691) [18 per cell]
Sm (0.0000, 0.0000, 0.5000) [3 per cell]

Computed properties:
**E**: -4.385 eV/atom
**Crystal system**: trigonal
**Energy of formation**: 0.245 eV/atom

[8]
Below is a geometry-optimized Ac4La3Sm4 structure, with properties calculated at the PBE level.

Unit cell a=3.741 b=11.921 c=19.632 alpha=90.00 beta=90.00 gamma=90.00
Space group Immm (No. 71)
Symmetry-distinct sites (fractional):
Ac (0.000, 0.000, 0.203) [4 per cell]
Ac (0.000, 0.220, 0.500) [4 per cell]
La (0.000, 0.000, 0.000) [2 per cell]
La (0.000, 0.500, 0.111) [4 per cell]
Sm (0.000, 0.242, 0.324) [8 per cell]

Computed properties:
**E**: -4.389 eV/atom
**Crystal system**: orthorhombic
**Energy of formation**: 0.165 eV/atom

[9]
Below is a geometry-optimized AcLa4Sm5 structure, with properties calculated at the PBE level.

Unit cell a=17.206 b=5.896 c=7.315 alpha=90.00 beta=102.12 gamma=90.00
Space group C2/m (No. 12)
Symmetry-distinct sites (fractional):
Ac (0.000, 0.000, 0.000) [2 per cell]
La (0.098, 0.500, 0.308) [4 per cell]
La (0.214, 0.000, 0.852) [4 per cell]
Sm (0.000, 0.000, 0.500) [2 per cell]
Sm (0.101, 0.500, 0.796) [4 per cell]
Sm (0.210, 0.000, 0.359) [4 per cell]

Computed properties:
**E**: -4.704 eV/atom
**Crystal system**: monoclinic
**Energy of formation**: 0.037 eV/atom

[10]
Below is a geometry-optimized AcLa4Sm7 structure, with properties calculated at the PBE level.

Unit cell a=6.458 b=7.451 c=9.226 alpha=90.08 beta=103.47 gamma=90.02
Space group P-1 (No. 2)
Symmetry-distinct sites (fractional):
Ac (0.000, 0.000, 0.000) [1 per cell]
La (0.222, 0.499, 0.669) [2 per cell]
La (0.280, 0.749, 0.335) [2 per cell]
Sm (0.000, 0.500, 0.000) [1 per cell]
Sm (0.225, 0.000, 0.667) [2 per cell]
Sm (0.277, 0.251, 0.332) [2 per cell]
Sm (0.500, 0.252, 0.001) [2 per cell]

Computed properties:
**E**: -4.711 eV/atom
**Crystal system**: triclinic
**Energy of formation**: 0.026 eV/atom

[11]
Below is a geometry-optimized Ac6LaSm structure, with properties calculated at the PBE level.

Unit cell a=7.890 b=11.020 c=15.708 alpha=90.00 beta=90.00 gamma=90.00
Space group Fmmm (No. 69)
Symmetry-distinct sites (fractional):
Ac (0.000, 0.000, 0.249) [8 per cell]
Ac (0.250, 0.250, 0.122) [16 per cell]
La (0.000, 0.000, 0.500) [4 per cell]
Sm (0.000, 0.000, 0.000) [4 per cell]

Computed properties:
**E**: -4.255 eV/atom
**Crystal system**: orthorhombic
**Energy of formation**: 0.033 eV/atom

[12]
Below is a geometry-optimized Ac4La5Sm structure, with properties calculated at the PBE level.

Unit cell a=7.397 b=9.008 c=12.683 alpha=90.00 beta=90.00 gamma=90.00
Space group Pmmn (No. 59, origin choice 2)
Symmetry-distinct sites (fractional):
Ac (0.000, 0.250, 0.032) [4 per cell]
Ac (0.250, 0.008, 0.499) [4 per cell]
La (0.001, 0.069, 0.770) [8 per cell]
La (0.250, 0.750, 0.712) [2 per cell]
Sm (0.250, 0.250, 0.279) [2 per cell]

Computed properties:
**E**: -4.294 eV/atom
**Crystal system**: orthorhombic
**Energy of formation**: 0.285 eV/atom

[13]
Below is a geometry-optimized AcLa3Sm12 structure, with properties calculated at the PBE level.

Unit cell a=5.199 b=5.199 c=20.752 alpha=90.00 beta=90.00 gamma=90.00
Space group P4/mmm (No. 123)
Symmetry-distinct sites (fractional):
Ac (0.000, 0.000, 0.000) [1 per cell]
La (0.000, 0.000, 0.252) [2 per cell]
La (0.000, 0.000, 0.500) [1 per cell]
Sm (0.000, 0.500, 0.128) [4 per cell]
Sm (0.000, 0.500, 0.376) [4 per cell]
Sm (0.500, 0.500, 0.000) [1 per cell]
Sm (0.500, 0.500, 0.252) [2 per cell]
Sm (0.500, 0.500, 0.500) [1 per cell]

Computed properties:
**E**: -4.697 eV/atom
**Crystal system**: tetragonal
**Energy of formation**: 0.023 eV/atom

[14]
Below is a geometry-optimized Ac12La5Sm2 structure, with properties calculated at the PBE level.

Unit cell a=19.822 b=7.713 c=11.014 alpha=90.00 beta=107.08 gamma=90.00
Space group C2/m (No. 12)
Symmetry-distinct sites (fractional):
Ac (0.002, 0.000, 0.178) [4 per cell]
Ac (0.033, 0.500, 0.733) [4 per cell]
Ac (0.159, 0.258, 0.391) [8 per cell]
Ac (0.164, 0.251, 0.038) [8 per cell]
La (0.000, 0.500, 0.000) [2 per cell]
La (0.169, 0.000, 0.719) [4 per cell]
La (0.201, 0.500, 0.716) [4 per cell]
Sm (0.000, 0.202, 0.500) [4 per cell]

Computed properties:
**E**: -4.219 eV/atom
**Crystal system**: monoclinic
**Energy of formation**: 0.169 eV/atom

[15]
Below is a geometry-optimized Ac3La8Sm2 structure, with properties calculated at the PBE level.

Unit cell a=21.383 b=8.064 c=5.974 alpha=90.00 beta=90.05 gamma=90.00
Space group C2/m (No. 12)
Symmetry-distinct sites (fractional):
Ac (0.000, 0.000, 0.000) [2 per cell]
Ac (0.000, 0.282, 0.500) [4 per cell]
La (0.112, 0.303, 0.000) [8 per cell]
La (0.137, 0.000, 0.499) [4 per cell]
La (0.180, 0.500, 0.501) [4 per cell]
Sm (0.240, 0.000, 0.998) [4 per cell]

Computed properties:
**E**: -4.493 eV/atom
**Crystal system**: monoclinic
**Energy of formation**: 0.213 eV/atom

[16]
Below is a geometry-optimized Ac2La4Sm3 structure, with properties calculated at the PBE level.

Unit cell a=3.7726 b=3.7726 c=28.0396 alpha=90.00 beta=90.00 gamma=120.00
Space group P3m1 (No. 156)
Symmetry-distinct sites (fractional):
Ac (0.0000, 0.0000, 0.0000) [1 per cell]
Ac (0.0000, 0.0000, 0.2200) [1 per cell]
La (0.0000, 0.0000, 0.3524) [1 per cell]
La (0.0000, 0.0000, 0.5625) [1 per cell]
La (0.3333, 0.6667, 0.6725) [1 per cell]
La (0.3333, 0.6667, 0.8840) [1 per cell]
Sm (0.0000, 0.0000, 0.7786) [1 per cell]
Sm (0.3333, 0.6667, 0.1117) [1 per cell]
Sm (0.3333, 0.6667, 0.4554) [1 per cell]

Computed properties:
**E**: -4.601 eV/atom
**Crystal system**: trigonal
**Energy of formation**: 0.075 eV/atom

[17]
Below is a geometry-optimized Ac6La3Sm2 structure, with properties calculated at the PBE level.

Unit cell a=6.702 b=8.626 c=8.628 alpha=107.35 beta=104.88 gamma=97.32
Space group P-1 (No. 2)
Symmetry-distinct sites (fractional):
Ac (0.053, 0.404, 0.181) [2 per cell]
Ac (0.137, 0.230, 0.548) [2 per cell]
Ac (0.322, 0.868, 0.266) [2 per cell]
La (0.407, 0.684, 0.643) [2 per cell]
La (0.500, 0.500, 0.000) [1 per cell]
Sm (0.231, 0.045, 0.912) [2 per cell]

Computed properties:
**E**: -4.409 eV/atom
**Crystal system**: triclinic
**Energy of formation**: 0.033 eV/atom

[18]
Below is a geometry-optimized AcLa3Sm2 structure, with properties calculated at the PBE level.

Unit cell a=3.570 b=6.286 c=20.058 alpha=90.00 beta=90.00 gamma=90.00
Space group Immm (No. 71)
Symmetry-distinct sites (fractional):
Ac (0.000, 0.000, 0.000) [2 per cell]
La (0.000, 0.000, 0.191) [4 per cell]
La (0.000, 0.500, 0.000) [2 per cell]
Sm (0.000, 0.000, 0.363) [4 per cell]

Computed properties:
**E**: -4.420 eV/atom
**Crystal system**: orthorhombic
**Energy of formation**: 0.302 eV/atom

[19]
Below is a geometry-optimized AcLa6Sm2 structure, with properties calculated at the PBE level.

Unit cell a=9.691 b=18.339 c=3.755 alpha=90.00 beta=90.00 gamma=90.00
Space group Cmmm (No. 65)
Symmetry-distinct sites (fractional):
Ac (0.000, 0.000, 0.000) [2 per cell]
La (0.171, 0.500, 0.500) [4 per cell]
La (0.173, 0.336, 0.000) [8 per cell]
Sm (0.000, 0.184, 0.500) [4 per cell]

Computed properties:
**E**: -4.678 eV/atom
**Crystal system**: orthorhombic
**Energy of formation**: 0.112 eV/atom

[20]
Below is a geometry-optimized Ac2La2Sm7 structure, with properties calculated at the PBE level.

Unit cell a=11.583 b=12.076 c=6.315 alpha=90.00 beta=112.69 gamma=90.00
Space group C2/m (No. 12)
Symmetry-distinct sites (fractional):
Ac (0.235, 0.000, 0.083) [4 per cell]
La (0.000, 0.227, 0.000) [4 per cell]
Sm (0.000, 0.000, 0.500) [2 per cell]
Sm (0.092, 0.500, 0.309) [4 per cell]
Sm (0.168, 0.236, 0.654) [8 per cell]

Computed properties:
**E**: -4.489 eV/atom
**Crystal system**: monoclinic
**Energy of formation**: 0.157 eV/atom